! Cs3GeCl6 | Alexandria | PBE-GGA | relaxed; values from VASP
&SYSTEM
  ibrav = 0, nat = 20, ntyp = 3
/
ATOMIC_SPECIES
Cl 35.45 Cl.upf
Cs 132.91 Cs.upf
Ge 72.64 Ge.upf
ATOMIC_POSITIONS angstrom
Cl 1.2556 -0.1841 6.5370
Cl 6.3292 0.1709 8.5819
Cl 2.1103 8.3274 2.0816
Cs 3.5908 3.1809 6.1830
Cl 1.6601 3.0668 3.3739
Cl 1.2556 2.0850 9.3842
Cl 1.6601 5.8938 6.9212
Cs 3.9911 8.0922 7.4957
Cl 5.8790 5.4315 7.2896
Cs 3.9911 2.9974 1.1027
Cl 1.1805 -1.5522 9.9551
Cl 5.3993 10.0505 0.7084
Ge 4.4944 8.3667 2.0503
Ge 0.2756 0.1315 8.6132
Cs 8.2099 0.4060 3.1678
Cl 5.4744 6.4132 1.2793
Cl 5.4744 8.6823 4.1265
Cs 7.8096 5.3173 4.4805
Cl 5.8790 2.6045 3.7423
Cs 8.2099 5.5009 9.5608
CELL_PARAMETERS angstrom
8.4377 0.0000 0.0000
0.0000 10.7710 0.1341
0.0000 -2.2728 10.5294
! electronic total energy = -65.58 eV/cell
! density of states at the Fermi level = 2.95 states/eV per cell

=====

! Cs3GeCl7 | Alexandria | PBE-GGA | relaxed; values from VASP
&SYSTEM
  ibrav = 0, nat = 22, ntyp = 3
/
ATOMIC_SPECIES
Ge 72.64 Ge.upf
Cl 35.45 Cl.upf
Cs 132.91 Cs.upf
ATOMIC_POSITIONS angstrom
Ge 1.6390 4.5903 1.4573
Cl -0.4632 1.2525 -3.4242
Cs 0.0000 0.0000 0.0000
Cl -0.5444 5.7864 -3.9161
Cl -1.4953 11.1056 -1.8419
Cs -4.2767 10.6025 0.5117
Cl -6.8970 5.3642 2.8950
Cl -3.5974 7.1862 -0.8298
Cl -2.7060 2.3901 1.2403
Cl -7.1579 9.9583 -1.4956
Cl -0.9878 9.7333 1.9101
Cl -6.6503 8.5859 2.2565
Cl -6.2070 4.6391 -3.5698
Cs -7.2374 6.3842 -0.6308
Cl -0.0368 4.4140 -0.1641
Cl -5.6994 3.2667 0.1822
Cl 0.6287 6.5032 2.2936
Cs 0.0427 7.9881 -1.0289
Cl -3.5623 9.4773 3.9484
Ge -4.7732 1.3434 1.1371
Cs -3.1342 5.9337 2.5943
Cs -2.9180 3.7698 -2.1713
CELL_PARAMETERS angstrom
-0.9264 2.5049 -6.8483
-9.5464 2.6868 2.2741
3.2781 9.1806 2.9146
! electronic total energy = -72.82 eV/cell
! density of states at the Fermi level = 0.00 states/eV per cell

=====

! Cs2GeCl7 | Alexandria | PBE-GGA | relaxed; values from VASP
&SYSTEM
  ibrav = 0, nat = 10, ntyp = 3
/
ATOMIC_SPECIES
Cl 35.45 Cl.upf
Ge 72.64 Ge.upf
Cs 132.91 Cs.upf
ATOMIC_POSITIONS angstrom
Cl -6.2805 -1.3458 1.1958
Cl -5.0612 2.4744 2.7358
Ge 0.0000 0.0000 0.0000
Cl -4.4808 4.6663 -0.9127
Cs -8.5370 0.6963 3.5421
Cl -2.2186 0.6846 0.0584
Cs -7.0058 5.8115 1.7482
Cl -10.4816 4.0334 2.5545
Cl -8.5427 2.6360 0.2248
Cl -5.3807 1.6603 0.1416
CELL_PARAMETERS angstrom
-3.8495 6.7755 -1.6524
-6.9118 -3.4550 1.9355
-4.7815 3.1873 5.0072
! electronic total energy = -30.72 eV/cell
! density of states at the Fermi level = 0.00 states/eV per cell